(1)
# PBE-GGA Si4Pd, optimized geometry
data_Si4Pd
_cell_length_a 4.6534
_cell_length_b 4.6534
_cell_length_c 4.6534
_cell_angle_alpha 90.00
_cell_angle_beta 90.00
_cell_angle_gamma 90.00
_space_group_name_H-M_alt 'P m -3 m'
_space_group_IT_number 221
_space_group_name_Hall '-P 4 2 3'
loop_
_atom_site_label
_atom_site_type_symbol
_atom_site_fract_x
_atom_site_fract_y
_atom_site_fract_z
_atom_site_occupancy
Si1 Si 0.0000 0.0000 0.0000 1
Si2 Si 0.0000 0.5000 0.5000 1
Pd1 Pd 0.5000 0.5000 0.5000 1
# Crystal system: cubic
# ΔE_f (raw) (eV per atom): 0.82

=====

(2)
# PBE-GGA Be2TlRu2, optimized geometry
data_Be2TlRu2
_cell_length_a 6.8533
_cell_length_b 6.8533
_cell_length_c 2.9785
_cell_angle_alpha 90.00
_cell_angle_beta 90.00
_cell_angle_gamma 90.00
_space_group_name_H-M_alt 'P 4/m b m'
_space_group_IT_number 127
_space_group_name_Hall '-P 4 2ab'
loop_
_atom_site_label
_atom_site_type_symbol
_atom_site_fract_x
_atom_site_fract_y
_atom_site_fract_z
_atom_site_occupancy
Be1 Be 0.1392 0.3608 0.0000 1
Tl1 Tl 0.0000 0.0000 0.5000 1
Ru1 Ru 0.1387 0.6387 0.5000 1
# Crystal system: tetragonal
# ΔE to the lowest computed polymorph (meV per atom): 190
# Formation energy (kJ per mole of atoms): 22.3

=====

(3)
# PBE-GGA Li2ZnPd4, optimized geometry
data_Li2ZnPd4
_cell_length_a 5.9177
_cell_length_b 5.9177
_cell_length_c 5.9515
_cell_angle_alpha 90.00
_cell_angle_beta 90.00
_cell_angle_gamma 90.00
_space_group_name_H-M_alt 'I 4/m m m'
_space_group_IT_number 139
_space_group_name_Hall '-I 4 2'
loop_
_atom_site_label
_atom_site_type_symbol
_atom_site_fract_x
_atom_site_fract_y
_atom_site_fract_z
_atom_site_occupancy
Li1 Li 0.0000 0.5000 0.0000 1
Zn1 Zn 0.0000 0.0000 0.0000 1
Pd1 Pd 0.2500 0.2500 0.2500 1
# Crystal system: tetragonal
# ΔE to the lowest computed polymorph (meV per atom): 25
# Formation energy (kJ per mole of atoms): -28.6

=====

(4)
# PBE-GGA SmEuTmIn, optimized geometry
data_SmEuTmIn
_cell_length_a 7.8117
_cell_length_b 7.8117
_cell_length_c 7.8117
_cell_angle_alpha 90.00
_cell_angle_beta 90.00
_cell_angle_gamma 90.00
_space_group_name_H-M_alt 'F -4 3 m'
_space_group_IT_number 216
_space_group_name_Hall 'F -4 2 3'
loop_
_atom_site_label
_atom_site_type_symbol
_atom_site_fract_x
_atom_site_fract_y
_atom_site_fract_z
_atom_site_occupancy
Sm1 Sm 0.0000 0.0000 0.0000 1
Eu1 Eu 0.2500 0.2500 0.7500 1
Tm1 Tm 0.0000 0.0000 0.5000 1
In1 In 0.2500 0.2500 0.2500 1
# Crystal system: cubic
# Formation energy (kJ per mole of atoms): -11.2

=====

(5)
# PBE-GGA Na5Tl3Cl12, optimized geometry
data_Na5Tl3Cl12
_cell_length_a 16.3962
_cell_length_b 16.3962
_cell_length_c 16.3962
_cell_angle_alpha 90.00
_cell_angle_beta 90.00
_cell_angle_gamma 90.00
_space_group_name_H-M_alt 'I a -3 d'
_space_group_IT_number 230
_space_group_name_Hall '-I 4bd 2c 3'
loop_
_atom_site_label
_atom_site_type_symbol
_atom_site_fract_x
_atom_site_fract_y
_atom_site_fract_z
_atom_site_occupancy
Na1 Na 0.0000 0.0000 0.0000 1
Na2 Na 0.0000 0.2500 0.3750 1
Tl1 Tl 0.0000 0.2500 0.1250 1
Cl1 Cl 0.0221 0.0740 0.6521 1
# Crystal system: cubic
# ΔE_f (raw) (eV per atom): -1.10

=====

(6)
# PBE-GGA Hf3GaSn, optimized geometry
data_Hf3GaSn
_cell_length_a 12.8901
_cell_length_b 11.8187
_cell_length_c 5.6626
_cell_angle_alpha 90.00
_cell_angle_beta 103.21
_cell_angle_gamma 90.00
_space_group_name_H-M_alt 'C 1 2/c 1'
_space_group_IT_number 15
loop_
_space_group_symop_operation_xyz
'x,y,z'
'-x,-y,-z'
'-x,y,-z+1/2'
'x,-y,z+1/2'
'x+1/2,y+1/2,z'
'-x+1/2,-y+1/2,-z'
'-x+1/2,y+1/2,-z+1/2'
'x+1/2,-y+1/2,z+1/2'
loop_
_atom_site_label
_atom_site_type_symbol
_atom_site_fract_x
_atom_site_fract_y
_atom_site_fract_z
_atom_site_occupancy
Hf1 Hf 0.0964 0.1949 0.0411 1
Hf2 Hf 0.1767 0.3037 0.6147 1
Hf3 Hf 0.1927 0.4374 0.0952 1
Ga1 Ga 0.0000 0.3827 0.2500 1
Ga2 Ga 0.0000 0.3916 0.7500 1
Sn1 Sn 0.1111 0.0691 0.5184 1
# Crystal system: monoclinic
# ΔE to the lowest computed polymorph (meV per atom): 0
# Formation energy (kJ per mole of atoms): -25.2

=====

(7)
# PBE-GGA CaPm5Pb6, optimized geometry
data_CaPm5Pb6
_cell_length_a 5.8259
_cell_length_b 17.3665
_cell_length_c 7.1621
_cell_angle_alpha 90.00
_cell_angle_beta 90.00
_cell_angle_gamma 90.00
_space_group_name_H-M_alt 'C m m m'
_space_group_IT_number 65
_space_group_name_Hall '-C 2 2'
loop_
_atom_site_label
_atom_site_type_symbol
_atom_site_fract_x
_atom_site_fract_y
_atom_site_fract_z
_atom_site_occupancy
Ca1 Ca 0.0000 0.0000 0.0000 1
Pm1 Pm 0.0000 0.0000 0.5000 1
Pm2 Pm 0.0000 0.3330 0.5000 1
Pm3 Pm 0.0000 0.3343 0.0000 1
Pb1 Pb 0.0000 0.1661 0.2494 1
Pb2 Pb 0.0000 0.5000 0.2519 1
# Crystal system: orthorhombic
# ΔE to the lowest computed polymorph (meV per atom): 33
# Formation energy (kJ per mole of atoms): -44.9

=====

(8)
# PBE-GGA MnCu, optimized geometry
data_MnCu
_cell_length_a 2.5061
_cell_length_b 2.5061
_cell_length_c 25.0855
_cell_angle_alpha 90.00
_cell_angle_beta 90.00
_cell_angle_gamma 120.00
_space_group_name_H-M_alt 'R -3 m'
_space_group_IT_number 166
_space_group_name_Hall '-R 3 2"'
loop_
_atom_site_label
_atom_site_type_symbol
_atom_site_fract_x
_atom_site_fract_y
_atom_site_fract_z
_atom_site_occupancy
Mn1 Mn 0.0000 0.0000 0.1295 1
Cu1 Cu 0.0000 0.0000 0.3760 1
# Crystal system: trigonal
# Formation energy (kJ per mole of atoms): 12.5

=====

(9)
# PBE-GGA Cd5Te3, optimized geometry
data_Cd5Te3
_cell_length_a 8.0532
_cell_length_b 12.2436
_cell_length_c 11.0258
_cell_angle_alpha 90.00
_cell_angle_beta 103.49
_cell_angle_gamma 90.00
_space_group_name_H-M_alt 'C 1 m 1'
_space_group_IT_number 8
loop_
_space_group_symop_operation_xyz
'x,y,z'
'x,-y,z'
'x+1/2,y+1/2,z'
'x+1/2,-y+1/2,z'
loop_
_atom_site_label
_atom_site_type_symbol
_atom_site_fract_x
_atom_site_fract_y
_atom_site_fract_z
_atom_site_occupancy
Cd1 Cd 0.0000 0.0000 0.0000 1
Cd2 Cd 0.0069 0.2153 0.2331 1
Cd3 Cd 0.0127 0.5000 0.0177 1
Cd4 Cd 0.1231 0.3854 0.4131 1
Cd5 Cd 0.2348 0.1133 0.4620 1
Cd6 Cd 0.2408 0.2719 0.7808 1
Te1 Te 0.1803 0.5000 0.8169 1
Te2 Te 0.2648 0.1724 0.0170 1
Te3 Te 0.3270 0.5000 0.2099 1
Te4 Te 0.4382 0.2959 0.5982 1
# Crystal system: monoclinic
# ΔE to the lowest computed polymorph (meV per atom): 0
# ΔE_f (raw) (eV per atom): -0.18

=====

(10)
# PBE-GGA BaGeSb6Rh2, optimized geometry
data_BaGeSb6Rh2
_cell_length_a 5.9899
_cell_length_b 5.9899
_cell_length_c 32.3578
_cell_angle_alpha 90.00
_cell_angle_beta 90.00
_cell_angle_gamma 120.00
_space_group_name_H-M_alt 'R -3'
_space_group_IT_number 148
_space_group_name_Hall '-R 3'
loop_
_atom_site_label
_atom_site_type_symbol
_atom_site_fract_x
_atom_site_fract_y
_atom_site_fract_z
_atom_site_occupancy
Ba1 Ba 0.0000 0.0000 0.0000 1
Ge1 Ge 0.0000 0.0000 0.5000 1
Sb1 Sb 0.0042 0.3798 0.7642 1
Rh1 Rh 0.0000 0.0000 0.2700 1
# Crystal system: trigonal
# ΔE_f (raw) (eV per atom): 0.15

=====

(11)
# PBE-GGA Tl2Ni, optimized geometry
data_Tl2Ni
_cell_length_a 3.9193
_cell_length_b 3.9193
_cell_length_c 5.4059
_cell_angle_alpha 90.00
_cell_angle_beta 90.00
_cell_angle_gamma 120.00
_space_group_name_H-M_alt 'P -3 m 1'
_space_group_IT_number 164
_space_group_name_Hall '-P 3 2"'
loop_
_atom_site_label
_atom_site_type_symbol
_atom_site_fract_x
_atom_site_fract_y
_atom_site_fract_z
_atom_site_occupancy
Tl1 Tl 0.3333 0.6667 0.2693 1
Ni1 Ni 0.0000 0.0000 0.0000 1
# Crystal system: trigonal
# Formation energy (kJ per mole of atoms): 31.1

=====

(12)
# PBE-GGA ScP2WS, optimized geometry
data_ScP2WS
_cell_length_a 4.7272
_cell_length_b 4.7272
_cell_length_c 4.6219
_cell_angle_alpha 90.00
_cell_angle_beta 90.00
_cell_angle_gamma 90.00
_space_group_name_H-M_alt 'P 4/m m m'
_space_group_IT_number 123
_space_group_name_Hall '-P 4 2'
loop_
_atom_site_label
_atom_site_type_symbol
_atom_site_fract_x
_atom_site_fract_y
_atom_site_fract_z
_atom_site_occupancy
Sc1 Sc 0.0000 0.0000 0.0000 1
P1 P 0.0000 0.5000 0.5000 1
W1 W 0.5000 0.5000 0.5000 1
S1 S 0.5000 0.5000 0.0000 1
# Crystal system: tetragonal
# ΔE to the lowest computed polymorph (meV per atom): 0
# ΔE_f (raw) (eV per atom): 0.05

=====

How do the records compare in M_tot? In the order shown, they have 0.00, 0.00, 0.00, 30.01, 0.00, 0.00, 0.00, 0.00, 0.00, 0.00, 0.00, 0.00 μB/cell.